{
  "formula": "ZnGa2H6",
  "functional": "PBE",
  "state": "relaxed",
  "lattice": [[0.000, 3.379, 3.379], [3.379, 0.000, 3.379], [3.379, 3.379, 0.000]],
  "species": ["Zn", "Ga", "Ga", "H", "H", "H", "H", "H", "H"],
  "fractional_positions": [[0.000, 0.000, 0.000], [0.250, 0.250, 0.250], [0.750, 0.750, 0.750], [0.268, 0.268, 0.732], [0.268, 0.732, 0.268], [0.268, 0.732, 0.732], [0.732, 0.268, 0.268], [0.732, 0.268, 0.732], [0.732, 0.732, 0.268]],
  "energy_ev_per_atom": -2.460
}

***

{
  "formula": "ZnGa2H2",
  "functional": "PBE",
  "state": "relaxed",
  "lattice": [[-1.596, 1.596, 6.187], [1.596, -1.596, 6.187], [1.596, 1.596, -6.187]],
  "species": ["Zn", "Ga", "Ga", "H", "H"],
  "fractional_positions": [[0.000, 0.000, 0.000], [0.353, 0.353, 0.000], [0.647, 0.647, 0.000], [0.250, 0.750, 0.500], [0.750, 0.250, 0.500]],
  "e_above_lowest_polymorph_mev_per_atom": 0.0
}

***

{
  "formula": "ZnGa2H",
  "functional": "PBE",
  "state": "relaxed",
  "lattice": [[0.000, 3.088, 3.088], [3.088, 0.000, 3.088], [3.088, 3.088, 0.000]],
  "species": ["Zn", "Ga", "Ga", "H"],
  "fractional_positions": [[0.000, 0.000, 0.000], [0.250, 0.250, 0.250], [0.750, 0.750, 0.750], [0.500, 0.500, 0.500]],
  "e_above_lowest_polymorph_mev_per_atom": 96.7
}

***

{
  "formula": "ZnGa2H",
  "functional": "PBE",
  "state": "relaxed",
  "lattice": [[-2.362, 2.362, 5.890], [2.362, -2.362, 5.890], [2.362, 2.362, -5.890]],
  "species": ["Zn", "Zn", "Ga", "Ga", "Ga", "Ga", "H", "H"],
  "fractional_positions": [[0.000, 0.000, 0.000], [0.750, 0.250, 0.500], [0.241, 0.625, 0.116], [0.375, 0.491, 0.616], [0.509, 0.125, 0.884], [0.875, 0.759, 0.384], [0.250, 0.750, 0.500], [0.500, 0.500, 0.000]],
  "e_above_lowest_polymorph_mev_per_atom": 0.0
}

***

{
  "formula": "ZnGa3H",
  "functional": "PBE",
  "state": "relaxed",
  "lattice": [[4.840, 0.000, 0.000], [0.000, 4.840, 0.000], [0.000, 0.000, 4.840]],
  "species": ["Zn", "Ga", "Ga", "Ga", "H"],
  "fractional_positions": [[0.000, 0.000, 0.000], [0.000, 0.000, 0.500], [0.000, 0.500, 0.000], [0.500, 0.000, 0.000], [0.500, 0.500, 0.500]],
  "e_above_lowest_polymorph_mev_per_atom": 439.6
}

***

{
  "formula": "ZnGa2H8",
  "functional": "PBE",
  "state": "relaxed",
  "lattice": [[6.398, -3.312, 0.000], [6.398, 3.312, 0.000], [-5.043, 0.000, 6.362]],
  "species": ["Zn", "Zn", "Ga", "Ga", "Ga", "Ga", "H", "H", "H", "H", "H", "H", "H", "H", "H", "H", "H", "H", "H", "H", "H", "H"],
  "fractional_positions": [[0.080, 0.920, 0.750], [0.920, 0.080, 0.250], [0.196, 0.630, 0.354], [0.370, 0.804, 0.146], [0.630, 0.196, 0.854], [0.804, 0.370, 0.646], [0.067, 0.154, 0.741], [0.121, 0.669, 0.539], [0.154, 0.067, 0.241], [0.183, 0.387, 0.182], [0.285, 0.593, 0.033], [0.331, 0.879, 0.961], [0.387, 0.183, 0.682], [0.407, 0.715, 0.467], [0.593, 0.285, 0.533], [0.613, 0.817, 0.318], [0.669, 0.121, 0.039], [0.715, 0.407, 0.967], [0.817, 0.613, 0.818], [0.846, 0.933, 0.759], [0.879, 0.331, 0.461], [0.933, 0.846, 0.259]],
  "e_above_lowest_polymorph_mev_per_atom": 0.0
}

***

{
  "formula": "ZnGa2H8",
  "functional": "PBE",
  "state": "relaxed",
  "lattice": [[4.130, -3.558, 0.000], [4.130, 3.558, 0.000], [-0.178, 0.000, 4.481]],
  "species": ["Zn", "Ga", "Ga", "H", "H", "H", "H", "H", "H", "H", "H"],
  "fractional_positions": [[0.000, 0.000, 0.000], [0.229, 0.229, 0.648], [0.771, 0.771, 0.352], [0.051, 0.703, 0.197], [0.168, 0.168, 0.306], [0.297, 0.949, 0.803], [0.409, 0.409, 0.747], [0.591, 0.591, 0.253], [0.703, 0.051, 0.197], [0.832, 0.832, 0.694], [0.949, 0.297, 0.803]],
  "e_above_lowest_polymorph_mev_per_atom": 37.0
}

***

{
  "formula": "Zr2ZnGaH",
  "functional": "PBE",
  "state": "relaxed",
  "lattice": [[4.336, 0.000, 0.000], [0.000, 4.336, 0.000], [0.000, 0.000, 4.080]],
  "species": ["Zr", "Zr", "Zn", "Ga", "H"],
  "fractional_positions": [[0.000, 0.500, 0.000], [0.500, 0.000, 0.000], [0.000, 0.000, 0.500], [0.500, 0.500, 0.500], [0.000, 0.000, 0.000]],
  "energy_ev_per_atom": -5.298
}

***

{
  "formula": "Zr2GaH2",
  "functional": "PBE",
  "state": "relaxed",
  "lattice": [[6.610, 0.000, 0.000], [0.000, 6.610, 0.000], [0.000, 0.000, 2.960]],
  "species": ["Zr", "Zr", "Zr", "Zr", "Ga", "Ga", "H", "H", "H", "H"],
  "fractional_positions": [[0.164, 0.336, 0.000], [0.336, 0.836, 0.000], [0.664, 0.164, 0.000], [0.836, 0.664, 0.000], [0.000, 0.000, 0.500], [0.500, 0.500, 0.500], [0.112, 0.612, 0.500], [0.388, 0.112, 0.500], [0.612, 0.888, 0.500], [0.888, 0.388, 0.500]],
  "e_above_lowest_polymorph_mev_per_atom": 291.5
}

***

{
  "formula": "ZrGa2H6",
  "functional": "PBE",
  "state": "relaxed",
  "lattice": [[0.000, 3.556, 3.556], [3.556, 0.000, 3.556], [3.556, 3.556, 0.000]],
  "species": ["Zr", "Ga", "Ga", "H", "H", "H", "H", "H", "H"],
  "fractional_positions": [[0.000, 0.000, 0.000], [0.250, 0.250, 0.250], [0.750, 0.750, 0.750], [0.274, 0.274, 0.726], [0.274, 0.726, 0.274], [0.274, 0.726, 0.726], [0.726, 0.274, 0.274], [0.726, 0.274, 0.726], [0.726, 0.726, 0.274]],
  "energy_ev_per_atom": -3.528
}

***

{
  "formula": "Zr5Ga4H",
  "functional": "PBE",
  "state": "relaxed",
  "lattice": [[-4.173, 4.173, 2.653], [4.173, -4.173, 2.653], [4.173, 4.173, -2.653]],
  "species": ["Zr", "Zr", "Zr", "Zr", "Zr", "Ga", "Ga", "Ga", "Ga", "H"],
  "fractional_positions": [[0.000, 0.000, 0.000], [0.293, 0.386, 0.655], [0.386, 0.730, 0.093], [0.638, 0.293, 0.907], [0.730, 0.638, 0.345], [0.059, 0.657, 0.699], [0.361, 0.059, 0.402], [0.657, 0.958, 0.598], [0.958, 0.361, 0.301], [0.390, 0.390, 0.000]],
  "energy_ev_per_atom": -6.113
}

***

{
  "formula": "Zr2GaH2",
  "functional": "PBE",
  "state": "relaxed",
  "lattice": [[-2.134, 2.134, 3.912], [2.134, -2.134, 3.912], [2.134, 2.134, -3.912]],
  "species": ["Zr", "Zr", "Ga", "H", "H"],
  "fractional_positions": [[0.250, 0.750, 0.500], [0.750, 0.250, 0.500], [0.000, 0.000, 0.000], [0.322, 0.322, 0.000], [0.678, 0.678, 0.000]],
  "e_above_lowest_polymorph_mev_per_atom": 243.5
}

***

{
  "formula": "Zr2GaH2",
  "functional": "PBE",
  "state": "relaxed",
  "lattice": [[2.823, -4.556, 0.000], [2.823, 4.556, 0.000], [-2.650, 0.000, 5.184]],
  "species": ["Zr", "Zr", "Zr", "Zr", "Ga", "Ga", "H", "H", "H", "H"],
  "fractional_positions": [[0.075, 0.925, 0.750], [0.294, 0.706, 0.250], [0.706, 0.294, 0.750], [0.925, 0.075, 0.250], [0.386, 0.614, 0.750], [0.614, 0.386, 0.250], [0.019, 0.249, 0.984], [0.249, 0.019, 0.484], [0.751, 0.981, 0.516], [0.981, 0.751, 0.016]],
  "e_above_lowest_polymorph_mev_per_atom": 0.0
}

***

{
  "formula": "Zr4GaH",
  "functional": "PBE",
  "state": "relaxed",
  "lattice": [[3.667, -6.853, 0.000], [3.667, 6.853, 0.000], [-2.922, 0.000, 4.450]],
  "species": ["Zr", "Zr", "Zr", "Zr", "Zr", "Zr", "Zr", "Zr", "Ga", "Ga", "H", "H"],
  "fractional_positions": [[0.072, 0.646, 0.873], [0.161, 0.289, 0.618], [0.289, 0.161, 0.118], [0.354, 0.928, 0.627], [0.646, 0.072, 0.373], [0.711, 0.839, 0.882], [0.839, 0.711, 0.382], [0.928, 0.354, 0.127], [0.398, 0.602, 0.250], [0.602, 0.398, 0.750], [0.024, 0.976, 0.250], [0.976, 0.024, 0.750]],
  "energy_ev_per_atom": -7.011
}

***

{
  "formula": "Zr4Ga2H",
  "functional": "PBE",
  "state": "relaxed",
  "lattice": [[5.285, 0.000, 0.000], [0.000, 5.933, 0.000], [-1.313, 0.000, 8.053]],
  "species": ["Zr", "Zr", "Zr", "Zr", "Zr", "Zr", "Zr", "Zr", "Ga", "Ga", "Ga", "Ga", "H", "H"],
  "fractional_positions": [[0.166, 0.250, 0.071], [0.213, 0.750, 0.358], [0.308, 0.511, 0.723], [0.308, 0.989, 0.723], [0.692, 0.011, 0.277], [0.692, 0.489, 0.277], [0.787, 0.250, 0.642], [0.834, 0.750, 0.929], [0.230, 0.250, 0.414], [0.346, 0.750, 0.039], [0.654, 0.250, 0.961], [0.770, 0.750, 0.586], [0.112, 0.250, 0.814], [0.888, 0.750, 0.186]],
  "e_above_lowest_polymorph_mev_per_atom": 0.0
}

***

{
  "formula": "Zr6GaH",
  "functional": "PBE",
  "state": "relaxed",
  "lattice": [[5.487, 0.000, 0.000], [-0.843, 5.471, 0.000], [-1.335, -1.431, 5.206]],
  "species": ["Zr", "Zr", "Zr", "Zr", "Zr", "Zr", "Ga", "H"],
  "fractional_positions": [[0.093, 0.249, 0.190], [0.259, 0.813, 0.408], [0.300, 0.393, 0.759], [0.700, 0.607, 0.241], [0.741, 0.187, 0.592], [0.907, 0.751, 0.810], [0.500, 0.000, 0.000], [0.500, 0.500, 0.500]],
  "energy_ev_per_atom": -7.358
}

***

{
  "formula": "Zr4Ga2H",
  "functional": "PBE",
  "state": "relaxed",
  "lattice": [[-2.027, 2.027, 7.784], [2.027, -2.027, 7.784], [2.027, 2.027, -7.784]],
  "species": ["Zr", "Zr", "Zr", "Zr", "Ga", "Ga", "H"],
  "fractional_positions": [[0.000, 0.500, 0.500], [0.181, 0.181, 0.000], [0.500, 0.000, 0.500], [0.819, 0.819, 0.000], [0.363, 0.363, 0.000], [0.637, 0.637, 0.000], [0.000, 0.000, 0.000]],
  "e_above_lowest_polymorph_mev_per_atom": 18.9
}

***

{
  "formula": "Zr4Ga2H5",
  "functional": "PBE",
  "state": "relaxed",
  "lattice": [[8.032, -1.539, 0.000], [8.032, 1.539, 0.000], [-1.056, 0.000, 5.950]],
  "species": ["Zr", "Zr", "Zr", "Zr", "Ga", "Ga", "H", "H", "H", "H", "H"],
  "fractional_positions": [[0.013, 0.013, 0.259], [0.330, 0.330, 0.915], [0.670, 0.670, 0.085], [0.987, 0.987, 0.741], [0.160, 0.160, 0.654], [0.840, 0.840, 0.346], [0.083, 0.083, 0.003], [0.148, 0.148, 0.322], [0.500, 0.500, 0.500], [0.852, 0.852, 0.678], [0.917, 0.917, 0.997]],
  "energy_ev_per_atom": -5.378
}

***

{
  "formula": "Zr4Ga3H2",
  "functional": "PBE",
  "state": "relaxed",
  "lattice": [[5.255, -2.043, 0.000], [5.255, 2.043, 0.000], [-4.119, 0.000, 6.769]],
  "species": ["Zr", "Zr", "Zr", "Zr", "Ga", "Ga", "Ga", "H", "H"],
  "fractional_positions": [[0.106, 0.106, 0.391], [0.308, 0.308, 0.904], [0.692, 0.692, 0.096], [0.894, 0.894, 0.609], [0.000, 0.000, 0.000], [0.379, 0.379, 0.326], [0.621, 0.621, 0.674], [0.321, 0.321, 0.637], [0.679, 0.679, 0.363]],
  "energy_ev_per_atom": -6.070
}

***

{
  "formula": "Zr3GaH3",
  "functional": "PBE",
  "state": "relaxed",
  "lattice": [[5.729, 0.000, 0.000], [0.000, 5.729, 0.000], [0.000, 0.000, 5.729]],
  "species": ["Zr", "Zr", "Zr", "Zr", "Zr", "Zr", "Ga", "Ga", "H", "H", "H", "H", "H", "H"],
  "fractional_positions": [[0.000, 0.250, 0.500], [0.000, 0.750, 0.500], [0.250, 0.500, 0.000], [0.500, 0.000, 0.250], [0.500, 0.000, 0.750], [0.750, 0.500, 0.000], [0.000, 0.000, 0.000], [0.500, 0.500, 0.500], [0.000, 0.500, 0.250], [0.000, 0.500, 0.750], [0.250, 0.000, 0.500], [0.500, 0.250, 0.000], [0.500, 0.750, 0.000], [0.750, 0.000, 0.500]],
  "e_above_lowest_polymorph_mev_per_atom": 0.0
}

***

{
  "formula": "Zr3GaH2",
  "functional": "PBE",
  "state": "relaxed",
  "lattice": [[10.861, -1.578, 0.000], [10.861, 1.578, 0.000], [-1.442, 0.000, 5.463]],
  "species": ["Zr", "Zr", "Zr", "Zr", "Zr", "Zr", "Ga", "Ga", "H", "H", "H", "H"],
  "fractional_positions": [[0.034, 0.034, 0.290], [0.238, 0.238, 0.232], [0.394, 0.394, 0.152], [0.606, 0.606, 0.848], [0.762, 0.762, 0.768], [0.966, 0.966, 0.710], [0.353, 0.353, 0.598], [0.647, 0.647, 0.402], [0.055, 0.055, 0.948], [0.296, 0.296, 0.001], [0.704, 0.704, 0.999], [0.945, 0.945, 0.052]],
  "energy_ev_per_atom": -6.229
}

***

{
  "formula": "Zr6Ga3H",
  "functional": "PBE",
  "state": "relaxed",
  "lattice": [[5.398, -6.431, 0.000], [5.398, 6.431, 0.000], [0.000, 0.000, 5.487]],
  "species": ["Zr", "Zr", "Zr", "Zr", "Zr", "Zr", "Zr", "Zr", "Zr", "Zr", "Zr", "Zr", "Ga", "Ga", "Ga", "Ga", "Ga", "Ga", "H", "H"],
  "fractional_positions": [[0.089, 0.911, 0.500], [0.113, 0.529, 0.730], [0.228, 0.324, 0.150], [0.310, 0.690, 0.250], [0.324, 0.228, 0.650], [0.471, 0.887, 0.730], [0.529, 0.113, 0.230], [0.676, 0.772, 0.150], [0.690, 0.310, 0.750], [0.772, 0.676, 0.650], [0.887, 0.471, 0.230], [0.911, 0.089, 0.000], [0.004, 0.769, 0.017], [0.231, 0.996, 0.017], [0.459, 0.541, 0.850], [0.541, 0.459, 0.350], [0.769, 0.004, 0.517], [0.996, 0.231, 0.517], [0.247, 0.753, 0.589], [0.753, 0.247, 0.089]],
  "energy_ev_per_atom": -6.757
}